# Fe2TeP3 | OQMD via LeMat-Bulk | PBE | relaxed
data_Fe2TeP3
_chemical_formula_sum 'Fe2 Te1 P3'
_symmetry_space_group_name_H-M 'P 1 m 1'
_symmetry_Int_Tables_number 6
_cell_length_a 5.053
_cell_length_b 3.004
_cell_length_c 5.838
_cell_angle_alpha 90.00
_cell_angle_beta 91.38
_cell_angle_gamma 90.00
loop_
_symmetry_equiv_pos_as_xyz
'x,y,z'
'x,-y,z'
loop_
_atom_site_label
_atom_site_fract_x
_atom_site_fract_y
_atom_site_fract_z
_atom_site_occupancy
Fe1 0.000 0.000 0.000 1
Fe2 0.469 0.500 0.527 1
Te1 0.819 0.000 0.384 1
P1 0.197 0.000 0.672 1
P2 0.314 0.500 0.141 1
P3 0.666 0.500 0.885 1
# Calculated total energy in eV/cell: -37.68